Density functional theory data (GGA-PBE) for CdBMo3 after structural relaxation.

a = 4.2562 Å, b = 4.2562 Å, c = 4.2562 Å
α = 90.00°, β = 90.00°, γ = 90.00°
With the nearest neighbours (Å) after each atom.
Positions (direct):
Cd 0.0000 0.0000 0.0000  12 Mo 3.01
B 0.5000 0.5000 0.5000  6 Mo 2.13
Mo 0.0000 0.5000 0.5000  2 B 2.13
Mo 0.5000 0.0000 0.5000  2 B 2.13
Mo 0.5000 0.5000 0.0000  2 B 2.13

## Properties
**Excess energy over the best structure of this formula in the dataset**: 0.0 meV per atom
**Uncorrected energy**: -7.681 eV per atom
**Spin magnetization**: 0.00 μB/f.u.
**ΔE_f**: 336 meV per atom

Density functional theory data (GGA-PBE) for CdBMo2 after structural relaxation.

a = 4.4065 Å, b = 4.4065 Å, c = 15.1950 Å
α = 90.00°, β = 90.00°, γ = 90.00°
With the nearest neighbours (Å) after each atom.
Positions (direct):
Cd 0.0000 0.0000 0.0000  4 Mo 2.75
Cd 0.0000 0.5000 0.2500  4 Mo 2.75
Cd 0.5000 0.0000 0.7500  4 Mo 2.75
Cd 0.5000 0.5000 0.5000  4 Mo 2.75
B 0.0000 0.0000 0.5000  4 Mo 2.26
B 0.0000 0.5000 0.7500  4 Mo 2.26
B 0.5000 0.0000 0.2500  4 Mo 2.26
B 0.5000 0.5000 0.0000  4 Mo 2.26
Mo 0.1261 0.2500 0.6250  2 B 2.26, 2 Mo 2.47
Mo 0.2500 0.6261 0.8750  2 B 2.26, 2 Mo 2.47
Mo 0.2500 0.8739 0.3750  2 B 2.26, 2 Mo 2.47
Mo 0.3739 0.2500 0.1250  2 B 2.26, 2 Mo 2.47
Mo 0.6261 0.7500 0.1250  2 B 2.26, 2 Mo 2.47
Mo 0.7500 0.1261 0.3750  2 B 2.26, 2 Mo 2.47
Mo 0.7500 0.3739 0.8750  2 B 2.26, 2 Mo 2.47
Mo 0.8739 0.7500 0.6250  2 B 2.26, 2 Mo 2.47

## Properties
**Excess energy over the best structure of this formula in the dataset**: 193.0 meV per atom
**Uncorrected energy**: -6.127 eV per atom
**Spin magnetization**: 0.00 μB/f.u.
**ΔE_f**: 1186 meV per atom